[1]
InCuPdSe2S: relaxed, GGA-PBE.

a b c (Å): 3.792 13.377 9.115
angles (deg): 90.00 90.00 90.00
Space group Cmcm (No. 63)
Symmetry-distinct sites (fractional):
In 0.000 0.244 0.250 x4
Cu 0.000 0.018 0.750 x4
Pd 0.000 0.500 0.000 x4
Se 0.000 0.142 0.556 x8
S 0.000 0.422 0.750 x4

Calculated values
E_tot	-3.999	eV/atom

=====

[2]
NbCuTcPb: relaxed, GGA-PBE.

a b c (Å): 6.494 6.494 6.494
angles (deg): 90.00 90.00 90.00
Space group F-43m (No. 216)
Symmetry-distinct sites (fractional):
Nb 0.000 0.000 0.000 x4
Cu 0.250 0.250 0.750 x4
Tc 0.250 0.250 0.250 x4
Pb 0.000 0.000 0.500 x4

Calculated values
E_tot	-6.614	eV/atom

=====

[3]
LiMg6Cu: relaxed, GGA-PBE.

a b c (Å): 4.877 6.123 5.346
angles (deg): 90.00 90.00 90.00
Space group Pmm2 (No. 25)
Symmetry-distinct sites (fractional):
Li 0.000 0.000 0.000 x1
Mg 0.000 0.256 0.490 x2
Mg 0.000 0.500 0.966 x1
Mg 0.500 0.000 0.667 x1
Mg 0.500 0.255 0.155 x2
Cu 0.500 0.500 0.660 x1

Calculated values
E_tot	-1.868	eV/atom

=====

[4]
MgCdAg2: relaxed, GGA-PBE.

a b c (Å): 6.689 6.689 6.689
angles (deg): 90.00 90.00 90.00
Space group Fm-3m (No. 225)
Symmetry-distinct sites (fractional):
Mg 0.000 0.000 0.000 x4
Cd 0.000 0.000 0.500 x4
Ag 0.250 0.250 0.250 x8

Calculated values
E_tot	-2.202	eV/atom

=====

Look up the E_tot of the second one. -6.614 eV/atom